MgZnTe2: relaxed, PBE.

Output
Mass density   5.5 g cm⁻³
Magnetic moment   0.0 μB/cell
E_form (uncorrected)   -0.031 eV per atom
VASP energy   -0.1705 Ry per atom
Calculated volume   25.9 A^3/atom

abc: 3.9738 5.1577 10.1124
angles: 90.00 90.00 90.00
Last column: nearest neighbours and their distance in Å.
Space group Cmm2 (No. 35)
Asymmetric unit:
Mg 0.0000 0.0000 0.0000 x2  2 Zn 2.82, 2 Te 3.00
Zn 0.0000 0.5000 0.8017 x2  2 Mg 2.82, 2 Te 2.93
Te 0.0000 0.0000 0.5888 x2  2 Zn 2.93, 4 Te 3.26
Te 0.0000 0.5000 0.2220 x2  2 Mg 3.00, 4 Te 3.26

Pa2Co3ReB12: relaxed, PBE.

Output
Mass density   8.0 g cm⁻³
Formation energy   0.056 eV/atom
Magnetic moment   9.9 μB/cell
VASP energy   -0.5385 Ry per atom
Calculated volume   11.1 A^3/atom

abc: 5.5962 5.5962 22.0429
angles: 90.00 90.00 120.00
Last column: nearest neighbours and their distance in Å.
Space group R-3m (No. 166, hexagonal axes)
Asymmetric unit:
Pa 0.0000 0.0000 0.1337 x6  12 B 2.63-2.93
Co 0.0000 0.5000 0.0000 x9  6 B 2.07-2.12
Re 0.0000 0.0000 0.5000 x3  6 B 2.09
B 0.0457 0.5229 0.0958 x18  2 B 1.70
B 0.1061 0.2122 0.7354 x18  4 B 1.70-1.78

Li2GeO: relaxed, PBE.

Output
E above lowest polymorph   0 meV per atom
Mass density   2.9 g cm⁻³
Magnetic moment   0.0 μB/cell
E_form (uncorrected)   -0.781 eV per atom
VASP energy   -0.3037 Ry per atom
Calculated volume   14.6 A^3/atom

abc: 5.6480 5.6480 7.3381
angles: 90.00 90.00 90.00
Last column: nearest neighbours and their distance in Å.
Space group I-42d (No. 122)
Asymmetric unit:
Li 0.0881 0.2500 0.1250 x8  2 O 1.76
Ge 0.0000 0.0000 0.5000 x4  8 Li 2.87-3.13
O 0.0000 0.0000 0.0000 x4  4 Li 1.76

Question: Among the records above, which one has the lowest calculated volume?
Answer: Pa2Co3ReB12